[1]
Entry from Alexandria: a crystal of Ca2BiAs2 relaxed with PBEsol (SCAN).

Cell lengths 7.924, 7.924, 3.985 Å; angles 90.00, 90.00, 90.00 degrees
Space group P4/mbm (No. 127)
Symmetry-distinct sites (fractional):
1 Ca 0.149 0.351 0.000 [4 per cell]
2 Bi 0.000 0.000 0.500 [2 per cell]
3 As 0.156 0.656 0.500 [4 per cell]

Values from the calculation:
DOS at the Fermi energy (states/eV/cell): 5.29
Relative energy among the computed polymorphs (eV per atom): 0.0000
E_form (eV/atom): -0.88
Total magnetization (μB/cell): 0.00

[2]
Entry from Alexandria: a crystal of Zn2FeCu relaxed with PBEsol (SCAN).

Cell lengths 3.603, 3.627, 7.392 Å; angles 90.00, 90.00, 90.00 degrees
Space group Cmmm (No. 65)
Symmetry-distinct sites (fractional):
1 Zn 0.000 0.000 0.248 [4 per cell]
2 Fe 0.000 0.500 0.000 [2 per cell]
3 Cu 0.000 0.500 0.500 [2 per cell]

Values from the calculation:
DOS at the Fermi energy (states/eV/cell): 3.94
E_form (eV/atom): -0.07
Total magnetization (μB/cell): 4.81

[3]
Entry from Alexandria: a crystal of KZrCr2Au relaxed with PBEsol (SCAN).

Cell lengths 5.178, 5.178, 5.109 Å; angles 90.00, 90.00, 90.00 degrees
Space group P4/mmm (No. 123)
Symmetry-distinct sites (fractional):
1 K 0.000 0.000 0.000 [1 per cell]
2 Zr 0.500 0.500 0.000 [1 per cell]
3 Cr 0.000 0.500 0.500 [2 per cell]
4 Au 0.500 0.500 0.500 [1 per cell]

Values from the calculation:
DOS at the Fermi energy (states/eV/cell): 4.07
E_form (eV/atom): 0.63
Total magnetization (μB/cell): 8.03

[4]
Entry from Alexandria: a crystal of CuS3O relaxed with PBEsol (SCAN).

Cell lengths 4.413, 4.413, 4.413 Å; angles 90.00, 90.00, 90.00 degrees
Space group Pm-3m (No. 221)
Symmetry-distinct sites (fractional):
1 Cu 0.000 0.000 0.000 [1 per cell]
2 S 0.000 0.000 0.500 [3 per cell]
3 O 0.500 0.500 0.500 [1 per cell]

Values from the calculation:
DOS at the Fermi energy (states/eV/cell): 4.79
Uncorrected formation energy (eV/atom): 1.188
Total magnetization (μB/cell): 3.53

[5]
Entry from Alexandria: a crystal of U2Ni12As7 relaxed with PBEsol (SCAN).

Cell lengths 9.2399, 9.2399, 3.7733 Å; angles 90.00, 90.00, 120.00 degrees
Space group P-6 (No. 174)
Symmetry-distinct sites (fractional):
1 U 0.0000 0.0000 0.0000 [1 per cell]
2 U 0.3333 0.6667 0.5000 [1 per cell]
3 Ni 0.0487 0.2908 0.5000 [3 per cell]
4 Ni 0.1074 0.7224 0.0000 [3 per cell]
5 Ni 0.3855 0.1807 0.0000 [3 per cell]
6 Ni 0.5512 0.4284 0.5000 [3 per cell]
7 As 0.0680 0.4543 0.0000 [3 per cell]
8 As 0.2589 0.2209 0.5000 [3 per cell]
9 As 0.6667 0.3333 0.0000 [1 per cell]

Values from the calculation:
DOS at the Fermi energy (states/eV/cell): 22.53
E_form (eV/atom): -0.39
Total magnetization (μB/cell): 5.32

[6]
Entry from Alexandria: a crystal of AlCr2Os relaxed with PBEsol (SCAN).

Cell lengths 2.945, 4.012, 8.407 Å; angles 90.00, 90.00, 90.00 degrees
Space group Immm (No. 71)
Symmetry-distinct sites (fractional):
1 Al 0.000 0.000 0.000 [2 per cell]
2 Cr 0.000 0.500 0.246 [4 per cell]
3 Os 0.000 0.000 0.500 [2 per cell]

Values from the calculation:
DOS at the Fermi energy (states/eV/cell): 4.51
E_form (eV/atom): -0.26
Total magnetization (μB/cell): 0.01

[7]
Entry from Alexandria: a crystal of Ca2TcRu relaxed with PBEsol (SCAN).

Cell lengths 4.050, 5.132, 8.178 Å; angles 90.00, 90.00, 90.00 degrees
Space group Imm2 (No. 44)
Symmetry-distinct sites (fractional):
1 Ca 0.000 0.000 0.000 [2 per cell]
2 Ca 0.000 0.500 0.203 [2 per cell]
3 Tc 0.000 0.000 0.419 [2 per cell]
4 Ru 0.000 0.500 0.780 [2 per cell]

Values from the calculation:
DOS at the Fermi energy (states/eV/cell): 6.71
Relative energy among the computed polymorphs (eV per atom): 0.0419
E_form (eV/atom): 0.26
Total magnetization (μB/cell): 0.00

[8]
Entry from Alexandria: a crystal of MgAsF2 relaxed with PBEsol (SCAN).

Cell lengths 2.9290, 2.9290, 27.9341 Å; angles 90.00, 90.00, 120.00 degrees
Space group R-3m (No. 166, hexagonal axes)
Symmetry-distinct sites (fractional):
1 Mg 0.0000 0.0000 0.0000 [3 per cell]
2 As 0.0000 0.0000 0.5000 [3 per cell]
3 F 0.0000 0.0000 0.3689 [6 per cell]

Values from the calculation:
DOS at the Fermi energy (states/eV/cell): 2.95
Relative energy among the computed polymorphs (eV per atom): 0.0000
Uncorrected formation energy (eV/atom): -2.466
Total magnetization (μB/cell): 0.00

[9]
Entry from Alexandria: a crystal of Li2SiAg relaxed with PBEsol (SCAN).

Cell lengths 2.698, 2.698, 7.933 Å; angles 90.00, 90.00, 90.00 degrees
Space group P4/mmm (No. 123)
Symmetry-distinct sites (fractional):
1 Li 0.000 0.000 0.236 [2 per cell]
2 Si 0.500 0.500 0.000 [1 per cell]
3 Ag 0.500 0.500 0.500 [1 per cell]

Values from the calculation:
DOS at the Fermi energy (states/eV/cell): 0.93
Uncorrected formation energy (eV/atom): -0.150
Total magnetization (μB/cell): 0.00

[10]
Entry from Alexandria: a crystal of CaScAg relaxed with PBEsol (SCAN).

Cell lengths 6.866, 6.866, 6.866 Å; angles 90.00, 90.00, 90.00 degrees
Space group F-43m (No. 216)
Symmetry-distinct sites (fractional):
1 Ca 0.000 0.000 0.000 [4 per cell]
2 Sc 0.000 0.000 0.500 [4 per cell]
3 Ag 0.250 0.250 0.250 [4 per cell]

Values from the calculation:
DOS at the Fermi energy (states/eV/cell): 18.34
E_form (eV/atom): 0.05
Total magnetization (μB/cell): 0.00

[11]
Entry from Alexandria: a crystal of Tl2CuP relaxed with PBEsol (SCAN).

Cell lengths 3.9299, 3.9299, 20.8699 Å; angles 90.00, 90.00, 120.00 degrees
Space group R3m (No. 160, hexagonal axes)
Symmetry-distinct sites (fractional):
1 Tl 0.0000 0.0000 0.0000 [3 per cell]
2 Tl 0.0000 0.0000 0.1980 [3 per cell]
3 Cu 0.0000 0.0000 0.7658 [3 per cell]
4 P 0.0000 0.0000 0.4323 [3 per cell]

Values from the calculation:
DOS at the Fermi energy (states/eV/cell): 2.56
Relative energy among the computed polymorphs (eV per atom): 0.0000
E_form (eV/atom): -0.04
Total magnetization (μB/cell): 0.00

[12]
Entry from Alexandria: a crystal of LiNbN2 relaxed with PBEsol (SCAN).

Cell lengths 6.094, 4.220, 7.326 Å; angles 90.00, 90.00, 90.00 degrees
Space group Pnma (No. 62)
Symmetry-distinct sites (fractional):
1 Li 0.075 0.250 0.109 [4 per cell]
2 Nb 0.082 0.250 0.634 [4 per cell]
3 N 0.080 0.750 0.605 [4 per cell]
4 N 0.090 0.750 0.144 [4 per cell]

Values from the calculation:
Relative energy among the computed polymorphs (eV per atom): 0.0000
Uncorrected formation energy (eV/atom): -1.075
Total magnetization (μB/cell): 0.00

[13]
Entry from Alexandria: a crystal of ZrRh2 relaxed with PBEsol (SCAN).

Cell lengths 5.448, 4.265, 8.111 Å; angles 90.00, 90.00, 90.00 degrees
Space group Pnma (No. 62)
Symmetry-distinct sites (fractional):
1 Zr 0.184 0.250 0.107 [4 per cell]
2 Rh 0.053 0.250 0.772 [4 per cell]
3 Rh 0.170 0.250 0.437 [4 per cell]

Values from the calculation:
DOS at the Fermi energy (states/eV/cell): 7.30
E_form (eV/atom): -0.85
Total magnetization (μB/cell): 0.00

[14]
Entry from Alexandria: a crystal of YSO4F relaxed with PBEsol (SCAN).

Cell lengths 8.277, 6.915, 6.351 Å; angles 90.00, 90.00, 90.00 degrees
Space group Pnma (No. 62)
Symmetry-distinct sites (fractional):
1 Y 0.051 0.250 0.150 [4 per cell]
2 S 0.095 0.750 0.314 [4 per cell]
3 O 0.019 0.250 0.510 [4 per cell]
4 O 0.063 0.581 0.171 [8 per cell]
5 O 0.237 0.250 0.880 [4 per cell]
6 F 0.208 0.750 0.797 [4 per cell]

Values from the calculation:
DOS at the Fermi energy (states/eV/cell): 0.00
Uncorrected formation energy (eV/atom): -2.832
Total magnetization (μB/cell): 0.00

[15]
Entry from Alexandria: a crystal of CaY2 relaxed with PBEsol (SCAN).

Cell lengths 3.5817, 3.5817, 8.9429 Å; angles 90.00, 90.00, 120.00 degrees
Space group P-3m1 (No. 164)
Symmetry-distinct sites (fractional):
1 Ca 0.0000 0.0000 0.0000 [1 per cell]
2 Y 0.3333 0.6667 0.6530 [2 per cell]

Values from the calculation:
DOS at the Fermi energy (states/eV/cell): 3.84
Relative energy among the computed polymorphs (eV per atom): 0.0122
E_form (eV/atom): 0.09
Total magnetization (μB/cell): 0.80

[16]
Entry from Alexandria: a crystal of Be2InPd2 relaxed with PBEsol (SCAN).

Cell lengths 6.630, 6.630, 2.921 Å; angles 90.00, 90.00, 90.00 degrees
Space group P4/mbm (No. 127)
Symmetry-distinct sites (fractional):
1 Be 0.120 0.380 0.000 [4 per cell]
2 In 0.000 0.000 0.000 [2 per cell]
3 Pd 0.165 0.665 0.500 [4 per cell]

Values from the calculation:
DOS at the Fermi energy (states/eV/cell): 2.64
E_form (eV/atom): -0.50
Total magnetization (μB/cell): 0.00

[17]
Entry from Alexandria: a crystal of Li6PS5I relaxed with PBEsol (SCAN).

Cell lengths 12.407, 7.161, 12.113 Å; angles 90.00, 109.23, 90.00 degrees
Space group Cc (No. 9)
Symmetry-distinct sites (fractional):
1 Li 0.000 0.012 0.000 [4 per cell]
2 Li 0.024 0.488 0.001 [4 per cell]
3 Li 0.107 0.249 0.329 [4 per cell]
4 Li 0.320 0.180 0.990 [4 per cell]
5 Li 0.330 0.436 0.732 [4 per cell]
6 Li 0.333 0.045 0.736 [4 per cell]
7 P 0.068 0.245 0.762 [4 per cell]
8 S 0.120 0.238 0.941 [4 per cell]
9 S 0.128 0.011 0.703 [4 per cell]
10 S 0.128 0.483 0.708 [4 per cell]
11 S 0.393 0.258 0.198 [4 per cell]
12 S 0.441 0.244 0.884 [4 per cell]
13 I 0.324 0.233 0.518 [4 per cell]

Values from the calculation:
DOS at the Fermi energy (states/eV/cell): 0.00
Relative energy among the computed polymorphs (eV per atom): 0.0000
Uncorrected formation energy (eV/atom): -1.230
Total magnetization (μB/cell): 0.00

[18]
Entry from Alexandria: a crystal of MoPbAu3 relaxed with PBEsol (SCAN).

Cell lengths 4.977, 4.977, 4.977 Å; angles 90.00, 90.00, 90.00 degrees
Space group Pm-3m (No. 221)
Symmetry-distinct sites (fractional):
1 Mo 0.000 0.000 0.000 [1 per cell]
2 Pb 0.500 0.500 0.500 [1 per cell]
3 Au 0.000 0.000 0.500 [3 per cell]

Values from the calculation:
DOS at the Fermi energy (states/eV/cell): 4.20
E_form (eV/atom): 0.82
Total magnetization (μB/cell): 0.00

[19]
Entry from Alexandria: a crystal of KAg2P relaxed with PBEsol (SCAN).

Cell lengths 5.415, 2.858, 5.582 Å; angles 90.00, 115.59, 90.00 degrees
Space group P2/m (No. 10)
Symmetry-distinct sites (fractional):
1 K 0.000 0.000 0.000 [1 per cell]
2 Ag 0.000 0.500 0.500 [1 per cell]
3 Ag 0.500 0.000 0.500 [1 per cell]
4 P 0.500 0.500 0.000 [1 per cell]

Values from the calculation:
DOS at the Fermi energy (states/eV/cell): 1.00
E_form (eV/atom): 0.32
Total magnetization (μB/cell): 0.00

[20]
Entry from Alexandria: a crystal of CrRePt relaxed with PBEsol (SCAN).

Cell lengths 5.697, 5.697, 5.697 Å; angles 90.00, 90.00, 90.00 degrees
Space group F-43m (No. 216)
Symmetry-distinct sites (fractional):
1 Cr 0.000 0.000 0.000 [4 per cell]
2 Re 0.250 0.250 0.250 [4 per cell]
3 Pt 0.250 0.250 0.750 [4 per cell]

Values from the calculation:
DOS at the Fermi energy (states/eV/cell): 11.88
Relative energy among the computed polymorphs (eV per atom): 0.2606
E_form (eV/atom): 0.28
Total magnetization (μB/cell): 0.00

[21]
Entry from Alexandria: a crystal of NaTaSeN2 relaxed with PBEsol (SCAN).

Cell lengths 4.047, 4.047, 5.198 Å; angles 90.00, 90.00, 90.00 degrees
Space group P4/mmm (No. 123)
Symmetry-distinct sites (fractional):
1 Na 0.000 0.000 0.000 [1 per cell]
2 Ta 0.500 0.500 0.500 [1 per cell]
3 Se 0.500 0.500 0.000 [1 per cell]
4 N 0.000 0.500 0.500 [2 per cell]

Values from the calculation:
DOS at the Fermi energy (states/eV/cell): 1.72
Uncorrected formation energy (eV/atom): -0.296
Total magnetization (μB/cell): 2.00

[22]
Entry from Alexandria: a crystal of LiYFe2 relaxed with PBEsol (SCAN).

Cell lengths 3.717, 3.884, 4.159 Å; angles 90.00, 90.00, 90.00 degrees
Space group Pmmm (No. 47)
Symmetry-distinct sites (fractional):
1 Li 0.000 0.000 0.000 [1 per cell]
2 Y 0.500 0.500 0.000 [1 per cell]
3 Fe 0.000 0.500 0.500 [1 per cell]
4 Fe 0.500 0.000 0.500 [1 per cell]

Values from the calculation:
DOS at the Fermi energy (states/eV/cell): 2.85
Relative energy among the computed polymorphs (eV per atom): 0.1500
E_form (eV/atom): 0.38
Total magnetization (μB/cell): 3.91

[23]
Entry from Alexandria: a crystal of Cr2NiPb relaxed with PBEsol (SCAN).

Cell lengths 2.9848, 2.9848, 23.2973 Å; angles 90.00, 90.00, 120.00 degrees
Space group R3m (No. 160, hexagonal axes)
Symmetry-distinct sites (fractional):
1 Cr 0.0000 0.0000 0.0000 [3 per cell]
2 Cr 0.0000 0.0000 0.2709 [3 per cell]
3 Ni 0.0000 0.0000 0.7403 [3 per cell]
4 Pb 0.0000 0.0000 0.5000 [3 per cell]

Values from the calculation:
DOS at the Fermi energy (states/eV/cell): 11.39
E_form (eV/atom): 0.70
Total magnetization (μB/cell): 0.00

[24]
Entry from Alexandria: a crystal of Ta2TeOs relaxed with PBEsol (SCAN).

Cell lengths 3.949, 3.949, 4.412 Å; angles 90.00, 90.00, 90.00 degrees
Space group P4/mmm (No. 123)
Symmetry-distinct sites (fractional):
1 Ta 0.000 0.500 0.000 [2 per cell]
2 Te 0.000 0.000 0.500 [1 per cell]
3 Os 0.500 0.500 0.500 [1 per cell]

Values from the calculation:
DOS at the Fermi energy (states/eV/cell): 2.04
Uncorrected formation energy (eV/atom): 0.277
Total magnetization (μB/cell): 0.00

[25]
Entry from Alexandria: a crystal of TlZnRh2 relaxed with PBEsol (SCAN).

Cell lengths 3.110, 3.110, 6.229 Å; angles 90.00, 90.00, 90.00 degrees
Space group P4/mmm (No. 123)
Symmetry-distinct sites (fractional):
1 Tl 0.000 0.000 0.000 [1 per cell]
2 Zn 0.000 0.000 0.500 [1 per cell]
3 Rh 0.500 0.500 0.272 [2 per cell]

Values from the calculation:
DOS at the Fermi energy (states/eV/cell): 1.44
E_form (eV/atom): -0.12
Total magnetization (μB/cell): 0.00